Entry 1:
MgGaNiAg: relaxed, PBE.

The total energy comes out at -3.361 eV/atom. The value obtained for the spin magnetization is 0.0 μB/f.u.

abc: 4.433 4.433 4.433
angles: 60.00 60.00 60.00
Atoms (fractional coordinates):
Ag  0.500  0.500  0.500
Ga  0.000  0.000  0.000
Mg  0.250  0.250  0.250
Ni  0.750  0.750  0.750

Entry 2:
Pr3Mg3GaAgPd: relaxed, PBE.

The total energy comes out at -3.787 eV/atom. The value obtained for the spin magnetization is 0.3 μB/f.u.

abc: 7.710 7.710 4.334
angles: 90.00 90.00 120.00
Atoms (fractional coordinates):
Ag  0.000  0.000  0.500
Ga  0.333  0.667  0.000
Mg  0.001  0.244  0.000
Mg  0.756  0.757  0.000
Mg  0.243  0.999  0.000
Pd  0.667  0.333  0.000
Pr  0.582  0.006  0.500
Pr  0.424  0.418  0.500
Pr  0.994  0.576  0.500

Entry 3:
Pr3Mg3TlGaAg: relaxed, PBE.

The total energy comes out at -3.410 eV/atom. The value obtained for the spin magnetization is 0.0 μB/f.u.

abc: 7.728 7.728 4.563
angles: 90.00 90.00 120.00
Atoms (fractional coordinates):
Ag  0.000  0.000  0.000
Ga  0.333  0.667  0.500
Mg  0.004  0.242  0.500
Mg  0.758  0.763  0.500
Mg  0.237  0.996  0.500
Pr  0.410  0.423  0.000
Pr  0.013  0.590  0.000
Pr  0.577  0.987  0.000
Tl  0.667  0.333  0.500

Entry 4:
Ga2AgMo: relaxed, PBE.

The total energy comes out at -4.452 eV/atom. The value obtained for the spin magnetization is 1.2 μB/f.u.

abc: 4.549 4.549 4.549
angles: 60.00 60.00 60.00
Site moments in Bohr magnetons follow the coordinates.
Atoms (fractional coordinates):
Ag  0.000  0.000  0.000  0.03
Ga  0.500  0.500  0.500  0.00
Ga  0.750  0.750  0.750  -0.01
Mo  0.250  0.250  0.250  1.02

Entry 5:
GaAgMo: relaxed, PBE.

The total energy comes out at -4.730 eV/atom. The value obtained for the spin magnetization is 1.9 μB/f.u.

abc: 4.397 4.397 4.397
angles: 60.00 60.00 60.00
Atoms (fractional coordinates):
Ag  0.250  0.250  0.250
Ga  0.750  0.750  0.750
Mo  0.000  0.000  0.000

Entry 6:
Ga40AgMo8: relaxed, PBE.

The total energy comes out at -4.444 eV/atom. The value obtained for the spin magnetization is 0.0 μB/f.u.

abc: 9.586 9.586 9.586
angles: 94.63 94.63 94.63
Atoms (fractional coordinates):
Ag  0.000  0.000  0.000
Ga  0.500  0.500  0.000
Ga  0.213  0.401  0.032
Ga  0.740  0.873  0.053
Ga  0.450  0.779  0.075
Ga  0.177  0.678  0.125
Ga  0.947  0.260  0.127
Ga  0.678  0.125  0.177
Ga  0.401  0.032  0.213
Ga  0.925  0.550  0.221
Ga  0.463  0.326  0.221
Ga  0.127  0.947  0.260
Ga  0.634  0.611  0.266
Ga  0.875  0.823  0.322
Ga  0.221  0.463  0.326
Ga  0.389  0.734  0.366
Ga  0.734  0.366  0.389
Ga  0.032  0.213  0.401
Ga  0.779  0.075  0.450
Ga  0.326  0.221  0.463
Ga  0.500  0.000  0.500
Ga  0.000  0.500  0.500
Ga  0.500  0.500  0.500
Ga  0.674  0.779  0.537
Ga  0.221  0.925  0.550
Ga  0.968  0.787  0.599
Ga  0.266  0.634  0.611
Ga  0.611  0.266  0.634
Ga  0.779  0.537  0.674
Ga  0.125  0.177  0.678
Ga  0.366  0.389  0.734
Ga  0.873  0.053  0.740
Ga  0.537  0.674  0.779
Ga  0.075  0.450  0.779
Ga  0.599  0.968  0.787
Ga  0.322  0.875  0.823
Ga  0.053  0.740  0.873
Ga  0.823  0.322  0.875
Ga  0.550  0.221  0.925
Ga  0.260  0.127  0.947
Ga  0.787  0.599  0.968
Mo  0.709  0.387  0.112
Mo  0.202  0.202  0.202
Mo  0.613  0.888  0.291
Mo  0.112  0.709  0.387
Mo  0.888  0.291  0.613
Mo  0.387  0.112  0.709
Mo  0.798  0.798  0.798
Mo  0.291  0.613  0.888

Entry 7:
GaAgNO: relaxed, PBE.

The total energy comes out at -5.008 eV/atom.

abc: 3.266 5.237 6.211
angles: 90.00 90.00 90.00
Atoms (fractional coordinates):
Ag  0.000  0.512  0.396
Ag  0.000  0.012  0.604
Ga  0.500  0.994  0.141
Ga  0.500  0.494  0.859
N  0.000  0.893  0.278
N  0.000  0.393  0.722
O  0.500  0.355  0.138
O  0.500  0.855  0.862

Entry 8:
GaAgNO: relaxed, PBE.

The total energy comes out at -4.527 eV/atom.

abc: 4.098 4.098 6.105
angles: 90.00 90.00 90.00
Atoms (fractional coordinates):
Ag  0.250  0.250  0.098
Ag  0.750  0.750  0.902
Ga  0.750  0.250  0.500
Ga  0.250  0.750  0.500
N  0.750  0.750  0.474
N  0.250  0.250  0.526
O  0.750  0.250  0.000
O  0.250  0.750  0.000